A relaxed structure of Y12NiAu6. Source: Alexandria, functional PBE-GGA.

Summary:
DFT formation energy, eV per atom: -0.46
M_tot, μB/atom: 0.0000
Volume, Å³ per cell: 558.3

extended XYZ file:
```
19
Lattice="-7.3246 0.3604 -3.9747 -0.2214 -8.0108 2.3142 -2.3228 3.4581 7.2266" Properties=species:S:1:pos:R:3 pbc="T T T"
Y -3.6781 -3.8479 0.9625
Y -7.2932 -1.9382 -2.6244
Y -5.3107 -7.1063 -0.3133
Y -4.5581 2.9139 5.8795
Y -2.7760 -1.3527 4.4413
Y -5.2682 0.2208 1.2078
Y -2.5755 -2.2542 8.1906
Y -7.0928 -2.8397 1.1249
Y -6.1907 -0.3445 4.6037
Y -4.6006 -4.4131 4.3584
Y -1.4340 -6.6195 4.2381
Y -8.4348 2.4271 1.3281
Au -3.7194 1.2166 3.6119
Au -8.0547 -0.2849 2.4356
Au -4.9559 -1.7652 -0.8263
Au -1.8141 -3.9074 3.1306
Au -4.9129 -2.4272 6.3925
Au -6.1494 -5.4090 1.9543
Ni 0.0000 0.0000 0.0000
```

---

A relaxed structure of Y2Ni2Au. Source: Alexandria, functional PBE-GGA.

Summary:
DFT formation energy, eV per atom: -0.40
M_tot, μB/atom: 0.0000
Relative energy among the computed polymorphs, eV per atom: 0.206
Volume, Å³ per cell: 102.6

extended XYZ file:
```
5
Lattice="-0.4377 -4.6136 -2.3819 4.0417 1.1978 -3.0628 4.1655 -3.2341 -0.2004" Properties=species:S:1:pos:R:3 pbc="T T T"
Ni 2.5155 -2.1686 -1.9610
Ni 5.2540 -4.4813 -3.6840
Y 5.0046 -1.8721 -2.9928
Y 2.7649 -4.7778 -2.6523
Au 0.0000 0.0000 0.0000
```